A relaxed Sm3Y4Ag crystal, computed with PBE-GGA.

The crystal system is tetragonal. The uncorrected energy is -5.419 eV/atom.

The space group is P4/mmm (No. 123) and the conventional cell measures 3.594, 3.594 and 19.168 Å, with angles of 90.00, 90.00 and 90.00 degrees. Symmetry generates all atoms from Sm at (0.000, 0.000, 0.000), Sm at (0.000, 0.000, 0.267), Y at (0.500, 0.500, 0.134), Y at (0.500, 0.500, 0.402) and Ag at (0.000, 0.000, 0.500).